La3Pr5Pb2 after structural relaxation. Source: Alexandria via LeMat-Bulk, functional PBE-GGA.

Calculated values
Space-group type: Ibam (72)
Calculated total energy, eV for the cell shown: -93.39
ΔE_f, meV/atom: -60

Unit cell a=6.7487 b=10.9524 c=10.9524 alpha=94.07 beta=72.06 gamma=72.06
Closest atoms and distances in Å follow each position.
Element x y z (fractional)
La  0.2500  0.0000  0.0000  2 Pr 3.35, 2 La 3.37, 4 Pb 3.46
La  0.7500  0.0000  0.0000  2 Pr 3.35, 2 La 3.37, 4 Pb 3.46
La  0.3706  0.3563  0.9025  4 Pr 3.45-3.87, 4 Pb 3.59-3.75
La  0.6294  0.6437  0.0975  4 Pr 3.45-3.87, 4 Pb 3.59-3.75
La  0.8706  0.9025  0.3563  4 Pr 3.45-3.87, 4 Pb 3.59-3.75
La  0.1294  0.0975  0.6437  4 Pr 3.45-3.87, 4 Pb 3.59-3.75
Pr  0.2500  0.5000  0.5000  8 Pr 3.30-3.37
Pr  0.7500  0.5000  0.5000  8 Pr 3.30-3.37
Pr  0.5014  0.7486  0.7486  3 Pr 3.31-3.37, 2 Pb 3.31, 1 La 3.35
Pr  0.9986  0.2514  0.2514  3 Pr 3.31-3.37, 2 Pb 3.31, 1 La 3.35
Pr  0.4986  0.2514  0.2514  3 Pr 3.31-3.37, 2 Pb 3.31, 1 La 3.35
Pr  0.0014  0.7486  0.7486  3 Pr 3.31-3.37, 2 Pb 3.31, 1 La 3.35
Pr  0.0915  0.5686  0.2484  1 Pb 3.10, 2 Pr 3.30, 1 La 3.45
Pr  0.9085  0.4314  0.7516  1 Pb 3.10, 2 Pr 3.30, 1 La 3.45
Pr  0.5915  0.2484  0.5686  1 Pb 3.10, 2 Pr 3.30, 1 La 3.45
Pr  0.4085  0.7516  0.4314  1 Pb 3.10, 2 Pr 3.30, 1 La 3.45
Pb  0.1368  0.7131  0.0133  3 Pr 3.10-3.31, 2 La 3.46
Pb  0.8632  0.2869  0.9867  3 Pr 3.10-3.31, 2 La 3.46
Pb  0.6368  0.0133  0.7131  3 Pr 3.10-3.31, 2 La 3.46
Pb  0.3632  0.9867  0.2869  3 Pr 3.10-3.31, 2 La 3.46

PrHo2Sc2 after structural relaxation. Source: Alexandria via LeMat-Bulk, functional PBE-GGA.

Calculated values
Space-group type: Fddd (70)
Calculated total energy, eV for the cell shown: -47.74
Energy above the most stable polymorph in this dataset, meV/atom: 416
ΔE_f, meV/atom: 545

Unit cell a=6.2200 b=6.2200 c=11.0774 alpha=96.67 beta=96.67 gamma=125.88
Closest atoms and distances in Å follow each position.
Element x y z (fractional)
Pr  0.7500  0.2500  0.5000  4 Sc 3.10, 4 Ho 3.39
Pr  0.5000  0.5000  0.0000  4 Sc 3.10, 4 Ho 3.39
Ho  0.4177  0.5823  0.5000  3 Ho 3.37-3.72, 3 Pr 3.39-3.68, 4 Sc 3.45-3.60
Ho  0.1677  0.8323  0.0000  3 Ho 3.37-3.72, 3 Pr 3.39-3.68, 4 Sc 3.45-3.60
Ho  0.0823  0.9177  0.5000  3 Ho 3.37-3.72, 3 Pr 3.39-3.68, 4 Sc 3.45-3.60
Ho  0.8323  0.1677  0.0000  3 Ho 3.37-3.72, 3 Pr 3.39-3.68, 4 Sc 3.45-3.60
Sc  0.1250  0.3750  0.7500  2 Pr 3.10, 2 Sc 3.11, 2 Ho 3.45
Sc  0.6250  0.3750  0.2500  2 Pr 3.10, 2 Sc 3.11, 2 Ho 3.45
Sc  0.6250  0.3750  0.7500  2 Pr 3.10, 2 Sc 3.11, 2 Ho 3.45
Sc  0.6250  0.8750  0.2500  2 Pr 3.10, 2 Sc 3.11, 2 Ho 3.45

Ni2SnP after structural relaxation. Source: Alexandria via LeMat-Bulk, functional PBE-GGA.

Calculated values
Space-group type: Pnma (62)
Calculated total energy, eV for the cell shown: -90.28
ΔE_f, meV/atom: -398

Unit cell a=3.5772 b=5.0982 c=13.0764 alpha=90.00 beta=90.00 gamma=90.00
Closest atoms and distances in Å follow each position.
Element x y z (fractional)
Ni  0.2500  0.5019  0.1135  3 P 2.29-2.30, 1 Ni 2.53
Ni  0.7500  0.4981  0.8865  3 P 2.29-2.30, 1 Ni 2.53
Ni  0.7500  0.0019  0.3865  3 P 2.29-2.30, 1 Ni 2.53
Ni  0.2500  0.9981  0.6135  3 P 2.29-2.30, 1 Ni 2.53
Ni  0.7500  0.5154  0.4234  3 P 2.20-2.31
Ni  0.2500  0.4846  0.5766  3 P 2.20-2.31
Ni  0.2500  0.0154  0.0766  3 P 2.20-2.31
Ni  0.7500  0.9846  0.9234  3 P 2.20-2.31
Sn  0.2500  0.2971  0.2949  5 Ni 2.59-2.69
Sn  0.7500  0.7029  0.7051  5 Ni 2.59-2.69
Sn  0.7500  0.7971  0.2051  5 Ni 2.59-2.69
Sn  0.2500  0.2029  0.7949  5 Ni 2.59-2.69
P  0.7500  0.2898  0.0428  6 Ni 2.20-2.31
P  0.2500  0.7102  0.9572  6 Ni 2.20-2.31
P  0.2500  0.7898  0.4572  6 Ni 2.20-2.31
P  0.7500  0.2102  0.5428  6 Ni 2.20-2.31

Fe2TcAs after structural relaxation. Source: Alexandria via LeMat-Bulk, functional PBE-GGA.

Calculated values
Space-group type: Immm (71)
Calculated total energy, eV for the cell shown: -31.63
Energy above the most stable polymorph in this dataset, meV/atom: 39
ΔE_f, meV/atom: 78

Unit cell a=4.9329 b=4.9329 c=4.1453 alpha=65.13 beta=65.13 gamma=34.68
Closest atoms and distances in Å follow each position.
Element x y z (fractional)
As  0.2500  0.2500  0.2500  4 Fe 2.48, 4 Tc 2.54
Fe  0.9867  0.9867  0.0133  2 As 2.48, 4 Fe 2.55, 2 Tc 2.67
Fe  0.5133  0.5133  0.4867  2 As 2.48, 4 Fe 2.55, 2 Tc 2.67
Tc  0.7500  0.7500  0.7500  4 As 2.54, 4 Fe 2.67

AlTlTc2 after structural relaxation. Source: Alexandria via LeMat-Bulk, functional PBE-GGA.

Calculated values
Space-group type: R-3m (166)
Calculated total energy, eV for the cell shown: -25.30
Energy above the most stable polymorph in this dataset, meV/atom: 259
ΔE_f, meV/atom: 386

Unit cell a=8.9275 b=8.9275 c=8.9275 alpha=19.12 beta=19.12 gamma=19.12
Closest atoms and distances in Å follow each position.
Element x y z (fractional)
Tl  0.2500  0.2500  0.2500  6 Tc 2.90, 6 Tl 2.97
Tc  0.0055  0.0055  0.0055  3 Al 2.67, 3 Tl 2.90, 6 Tc 2.97
Tc  0.4945  0.4945  0.4945  3 Al 2.67, 3 Tl 2.90, 6 Tc 2.97
Al  0.7500  0.7500  0.7500  6 Tc 2.67, 6 Al 2.97

Rb2TaHgBr6 after structural relaxation. Source: Alexandria via LeMat-Bulk, functional PBE-GGA.

Calculated values
Space-group type: Fm-3m (225)
Raw formation energy, eV/atom: -1.06
Calculated total energy, eV for the cell shown: -34.77

Unit cell a=8.3886 b=8.3886 c=8.3883 alpha=60.00 beta=60.00 gamma=90.00
Closest atoms and distances in Å follow each position.
Element x y z (fractional)
Br  0.2822  0.2822  0.4355  1 Ta 2.58
Br  0.7178  0.7178  0.5645  1 Ta 2.58
Br  0.2822  0.2822  0.0000  1 Ta 2.58
Br  0.7178  0.7178  0.0000  1 Ta 2.58
Br  0.7178  0.2822  0.0000  1 Ta 2.58
Br  0.2822  0.7178  0.0000  1 Ta 2.58
Hg  0.0000  0.0000  0.0000  6 Br 3.35
Rb  0.7500  0.2500  0.5000  12 Br 4.21
Rb  0.2500  0.7500  0.5000  12 Br 4.21
Ta  0.5000  0.5000  0.0000  6 Br 2.58

CaLa3Cu after structural relaxation. Source: Alexandria via LeMat-Bulk, functional PBE-GGA.

Calculated values
Space-group type: Pm-3m (221)
Calculated total energy, eV for the cell shown: -20.25
Energy above the most stable polymorph in this dataset, meV/atom: 0
ΔE_f, meV/atom: 126

Unit cell a=5.7481 b=5.7481 c=5.7481 alpha=90.00 beta=90.00 gamma=90.00
Closest atoms and distances in Å follow each position.
Element x y z (fractional)
Ca  0.5000  0.5000  0.5000  12 La 4.06
Cu  0.0000  0.0000  0.0000  6 La 2.87
La  0.0000  0.5000  0.0000  2 Cu 2.87
La  0.0000  0.0000  0.5000  2 Cu 2.87
La  0.5000  0.0000  0.0000  2 Cu 2.87

AgIr2Au after structural relaxation. Source: Alexandria via LeMat-Bulk, functional PBE-GGA.

Calculated values
Space-group type: I4/mmm (139)
Calculated total energy, eV for the cell shown: -21.65
Energy above the most stable polymorph in this dataset, meV/atom: 368
ΔE_f, meV/atom: 550

Unit cell a=5.0376 b=5.0376 c=5.0376 alpha=134.33 beta=134.33 gamma=66.58
Closest atoms and distances in Å follow each position.
Element x y z (fractional)
Ir  0.0000  0.0000  0.0000  4 Ir 2.76, 4 Ag 2.87, 4 Au 2.87
Ir  0.5000  0.5000  0.0000  4 Ir 2.76, 4 Au 2.87, 4 Ag 2.87
Au  0.7500  0.2500  0.5000  4 Ag 2.76, 8 Ir 2.87
Ag  0.2500  0.7500  0.5000  4 Au 2.76, 8 Ir 2.87